No. 1
An optimized crystal structure of P2IrAu, computed with PBE-GGA.

- Total magnetization: 0.00 μB/atom
- N(E_F): 2.2 states/eV/cell
- Energy above the most stable polymorph in this dataset: 0.149 eV/atom

Cell and atoms, written as POSCAR:
```
P2IrAu
1.0
4.126 0.000 -0.010
0.000 3.594 0.000
-0.893 0.000 5.124
P Ir Au
2 1 1
direct
0.386 0.500 0.002 P
0.000 0.000 0.458 P
0.460 0.000 0.279 Ir
0.814 0.500 0.719 Au
```

***

No. 2
An optimized crystal structure of La2ZrO5, computed with PBE-GGA.

- Total magnetization: 0.00 μB/atom
- N(E_F): 0.0 states/eV/cell
- ΔE_f (raw): -3454 meV/atom

Cell and atoms, written as POSCAR:
```
La2ZrO5
1.0
3.922 0.000 0.000
0.000 7.821 0.000
0.000 0.000 16.607
La Zr O
8 4 20
direct
0.750 0.383 0.417 La
0.750 0.368 0.756 La
0.250 0.132 0.256 La
0.250 0.117 0.917 La
0.750 0.883 0.083 La
0.750 0.868 0.744 La
0.250 0.632 0.244 La
0.250 0.617 0.583 La
0.750 0.375 0.072 Zr
0.250 0.125 0.572 Zr
0.750 0.875 0.428 Zr
0.250 0.625 0.928 Zr
0.250 0.392 0.325 O
0.250 0.403 0.032 O
0.250 0.413 0.847 O
0.250 0.355 0.501 O
0.750 0.209 0.168 O
0.250 0.291 0.668 O
0.750 0.145 0.001 O
0.750 0.087 0.347 O
0.750 0.097 0.532 O
0.750 0.108 0.825 O
0.250 0.892 0.175 O
0.250 0.903 0.468 O
0.250 0.913 0.653 O
0.250 0.855 0.999 O
0.750 0.709 0.332 O
0.250 0.791 0.832 O
0.750 0.645 0.499 O
0.750 0.587 0.153 O
0.750 0.597 0.968 O
0.750 0.608 0.675 O
```

***

No. 3
An optimized crystal structure of LiEu2Ho, computed with PBE-GGA.

- Total magnetization: 3.74 μB/atom
- N(E_F): 3.9 states/eV/cell
- Energy above the most stable polymorph in this dataset: 0.104 eV/atom

Cell and atoms, written as POSCAR:
```
LiEu2Ho
1.0
5.804 0.000 0.000
2.902 5.027 0.000
2.902 1.676 4.739
Eu Ho Li
2 1 1
direct
0.250 0.250 0.250 Eu
0.750 0.750 0.750 Eu
0.000 0.000 0.000 Ho
0.500 0.500 0.500 Li
```

***

No. 4
An optimized crystal structure of TbNdSn2, computed with PBE-GGA.

- Total magnetization: 0.00 μB/atom
- N(E_F): 3.0 states/eV/cell
- DFT total energy: -5.1104 eV per atom

Cell and atoms, written as POSCAR:
```
TbNdSn2
1.0
4.596 0.000 -0.031
0.000 4.359 0.000
-2.257 0.000 5.822
Tb Nd Sn
1 1 2
direct
0.448 0.500 0.435 Tb
0.718 0.000 0.975 Nd
0.174 0.500 0.886 Sn
0.991 0.000 0.522 Sn
```

***

No. 5
An optimized crystal structure of TbPm4Y6, computed with PBE-GGA.

- Total magnetization: 0.00 μB/atom
- N(E_F): 41.6 states/eV/cell
- Energy above the most stable polymorph in this dataset: 0.000 eV/atom

Cell and atoms, written as POSCAR:
```
TbPm4Y6
1.0
5.785 0.000 0.000
-2.893 4.859 0.000
0.000 0.000 25.982
Tb Pm Y
2 8 12
direct
0.816 0.632 0.250 Tb
0.184 0.368 0.750 Tb
0.843 0.687 0.544 Pm
0.470 0.940 0.122 Pm
0.157 0.313 0.456 Pm
0.530 0.060 0.878 Pm
0.843 0.687 0.956 Pm
0.157 0.313 0.044 Pm
0.530 0.060 0.622 Pm
0.470 0.940 0.378 Pm
0.500 0.000 0.000 Y
0.500 0.000 0.500 Y
0.144 0.289 0.318 Y
0.856 0.711 0.682 Y
0.856 0.711 0.818 Y
0.144 0.289 0.182 Y
0.810 0.620 0.395 Y
0.190 0.380 0.605 Y
0.190 0.380 0.895 Y
0.810 0.620 0.105 Y
0.482 0.964 0.250 Y
0.518 0.036 0.750 Y
```

***

No. 6
An optimized crystal structure of U2Pd4S5, computed with PBE-GGA.

- Total magnetization: 0.36 μB/atom
- N(E_F): 10.3 states/eV/cell
- ΔE_f (raw): -675 meV/atom

Cell and atoms, written as POSCAR:
```
U2Pd4S5
1.0
-2.544 0.410 2.887
1.028 -0.884 3.625
4.601 15.246 4.481
U Pd S
2 4 5
direct
0.134 0.134 0.599 U
0.866 0.866 0.401 U
0.684 0.684 0.947 Pd
0.582 0.582 0.255 Pd
0.418 0.418 0.745 Pd
0.316 0.316 0.053 Pd
0.769 0.769 0.692 S
0.631 0.631 0.107 S
0.500 0.500 0.500 S
0.369 0.369 0.893 S
0.231 0.231 0.308 S
```

***

No. 7
An optimized crystal structure of Li2SbRuN, computed with PBE-GGA.

- Total magnetization: 0.00 μB/atom
- N(E_F): 3.2 states/eV/cell
- ΔE_f (raw): -309 meV/atom

Cell and atoms, written as POSCAR:
```
Li2SbRuN
1.0
-3.953 1.077 -1.000
-1.338 -1.450 3.728
0.555 3.479 1.553
Sb N Li Ru
1 1 2 1
direct
0.500 0.500 0.500 Sb
0.000 0.000 0.000 N
0.000 0.500 0.000 Li
0.500 0.000 0.000 Li
0.000 0.000 0.500 Ru
```

***

No. 8
An optimized crystal structure of Ba2TlCdH, computed with PBE-GGA.

- Total magnetization: 0.00 μB/atom
- N(E_F): 1.7 states/eV/cell
- Energy above the most stable polymorph in this dataset: 0.026 eV/atom

Cell and atoms, written as POSCAR:
```
Ba2TlCdH
1.0
5.744 0.000 0.000
0.000 5.744 0.000
0.000 0.000 4.733
H Tl Ba Cd
1 1 2 1
direct
0.000 0.000 0.000 H
0.000 0.000 0.500 Tl
0.000 0.500 0.000 Ba
0.500 0.000 0.000 Ba
0.500 0.500 0.500 Cd
```

***

No. 9
An optimized crystal structure of ZrNi2As2, computed with PBE-GGA.

- Total magnetization: 0.00 μB/atom
- N(E_F): 4.6 states/eV/cell
- DFT total energy: -6.2556 eV per atom

Cell and atoms, written as POSCAR:
```
ZrNi2As2
1.0
-6.356 -0.259 3.314
3.190 -2.489 5.923
0.384 2.759 0.953
Ni As Zr
4 4 2
direct
0.138 0.638 0.500 Ni
0.638 0.862 0.500 Ni
0.862 0.362 0.500 Ni
0.362 0.138 0.500 Ni
0.348 0.848 0.000 As
0.848 0.652 0.000 As
0.652 0.152 0.000 As
0.152 0.348 0.000 As
0.000 0.000 0.000 Zr
0.500 0.500 0.000 Zr
```

***

No. 10
An optimized crystal structure of CoCuW2, computed with PBE-GGA.

- Total magnetization: 0.39 μB/atom
- N(E_F): 2.7 states/eV/cell
- Energy above the most stable polymorph in this dataset: 0.082 eV/atom

Cell and atoms, written as POSCAR:
```
CoCuW2
1.0
4.655 -0.029 -0.022
3.117 3.458 -0.022
1.576 0.695 3.394
Co Cu W
1 1 2
direct
0.750 0.750 0.750 Co
0.250 0.250 0.250 Cu
0.000 0.000 0.000 W
0.500 0.500 0.500 W
```

***

No. 11
An optimized crystal structure of Th4TlPd15, computed with PBE-GGA.

- Total magnetization: 0.00 μB/atom
- N(E_F): 4.6 states/eV/cell
- DFT total energy: -6.3098 eV per atom

Cell and atoms, written as POSCAR:
```
Th4TlPd15
1.0
4.204 0.000 0.000
0.000 4.204 0.000
0.000 0.000 20.904
Th Tl Pd
4 1 15
direct
0.000 0.000 0.193 Th
0.000 0.000 0.398 Th
0.000 0.000 0.602 Th
0.000 0.000 0.807 Th
0.000 0.000 0.000 Tl
0.500 0.500 0.000 Pd
0.500 0.500 0.199 Pd
0.500 0.500 0.400 Pd
0.500 0.500 0.600 Pd
0.500 0.500 0.801 Pd
0.500 0.000 0.098 Pd
0.500 0.000 0.298 Pd
0.500 0.000 0.500 Pd
0.500 0.000 0.702 Pd
0.500 0.000 0.902 Pd
0.000 0.500 0.098 Pd
0.000 0.500 0.298 Pd
0.000 0.500 0.500 Pd
0.000 0.500 0.702 Pd
0.000 0.500 0.902 Pd
```

***

No. 12
An optimized crystal structure of TbZn10Ag2, computed with PBE-GGA.

- Total magnetization: 0.00 μB/atom
- N(E_F): 4.2 states/eV/cell
- DFT total energy: -1.9130 eV per atom

Cell and atoms, written as POSCAR:
```
TbZn10Ag2
1.0
-5.076 -0.151 1.934
-1.474 -5.946 3.299
-0.572 2.407 6.321
Tb Zn Ag
1 10 2
direct
0.000 0.000 0.000 Tb
0.354 0.652 0.639 Zn
0.646 0.348 0.361 Zn
0.007 0.348 0.639 Zn
0.993 0.652 0.361 Zn
0.000 0.000 0.500 Zn
0.500 0.000 0.500 Zn
0.287 0.208 0.217 Zn
0.713 0.792 0.783 Zn
0.496 0.792 0.217 Zn
0.504 0.208 0.783 Zn
0.000 0.500 0.000 Ag
0.500 0.500 0.000 Ag
```

***

No. 13
An optimized crystal structure of Cs2KNbI6, computed with PBE-GGA.

- Total magnetization: 0.20 μB/atom
- N(E_F): 18.6 states/eV/cell
- ΔE_f (raw): -1046 meV/atom

Cell and atoms, written as POSCAR:
```
Cs2KNbI6
1.0
8.588 0.000 0.000
0.000 9.198 0.000
0.000 0.000 12.492
Cs K Nb I
4 2 2 12
direct
0.500 0.785 0.230 Cs
0.000 0.215 0.730 Cs
0.500 0.785 0.770 Cs
0.000 0.215 0.270 Cs
0.000 0.718 0.500 K
0.500 0.282 0.000 K
0.500 0.223 0.500 Nb
0.000 0.777 0.000 Nb
0.500 0.222 0.270 I
0.500 0.222 0.730 I
0.000 0.778 0.230 I
0.000 0.778 0.770 I
0.266 0.999 0.500 I
0.734 0.999 0.500 I
0.262 0.441 0.500 I
0.738 0.441 0.500 I
0.762 0.559 0.000 I
0.238 0.559 0.000 I
0.234 0.001 0.000 I
0.766 0.001 0.000 I
```

***

No. 14
An optimized crystal structure of Pm6Co2NCl3, computed with PBE-GGA.

- Total magnetization: 0.00 μB/atom
- N(E_F): 0.5 states/eV/cell
- ΔE_f (raw): -1054 meV/atom

Cell and atoms, written as POSCAR:
```
Pm6Co2NCl3
1.0
6.694 0.000 0.005
-3.346 5.798 0.005
-1.112 -1.925 7.366
Pm Co N Cl
6 2 1 3
direct
0.936 0.618 0.807 Pm
0.746 0.746 0.192 Pm
0.064 0.382 0.193 Pm
0.618 0.936 0.807 Pm
0.254 0.254 0.808 Pm
0.382 0.064 0.193 Pm
0.333 0.667 0.000 Co
0.667 0.333 0.000 Co
0.000 0.000 0.000 N
0.165 0.835 0.500 Cl
0.835 0.165 0.500 Cl
0.500 0.500 0.500 Cl
```

***

No. 15
An optimized crystal structure of Nd3ErF, computed with PBE-GGA.

- Total magnetization: 0.00 μB/atom
- N(E_F): 5.1 states/eV/cell
- ΔE_f (raw): -977 meV/atom

Cell and atoms, written as POSCAR:
```
Nd3ErF
1.0
-0.406 4.366 -2.735
-4.666 -1.475 -1.661
-2.184 2.339 4.058
F Nd Er
1 3 1
direct
0.000 0.000 0.000 F
0.000 0.500 0.000 Nd
0.000 0.000 0.500 Nd
0.500 0.000 0.000 Nd
0.500 0.500 0.500 Er
```

***

No. 16
An optimized crystal structure of Pu2NiH6Pd, computed with PBE-GGA.

- Total magnetization: 1.14 μB/atom
- N(E_F): 15.5 states/eV/cell
- DFT total energy: -6.2744 eV per atom

Cell and atoms, written as POSCAR:
```
Pu2NiH6Pd
1.0
-3.203 -3.296 1.452
-0.305 -0.954 -4.715
4.915 -0.777 2.015
Pu Ni H Pd
2 1 6 1
direct
0.772 0.273 0.545 Pu
0.272 0.773 0.545 Pu
0.027 0.027 0.054 Ni
0.718 0.718 0.908 H
0.743 0.743 0.486 H
0.191 0.191 0.908 H
0.781 0.248 0.028 H
0.218 0.218 0.436 H
0.248 0.781 0.028 H
0.530 0.531 0.060 Pd
```

***

No. 17
An optimized crystal structure of Tm5CuRh6, computed with PBE-GGA.

- Total magnetization: 0.00 μB/atom
- N(E_F): 3.2 states/eV/cell
- DFT total energy: -6.7108 eV per atom

Cell and atoms, written as POSCAR:
```
Tm5CuRh6
1.0
-1.412 -4.068 -1.681
7.984 0.383 -1.275
-2.798 0.465 7.581
Tm Rh Cu
5 6 1
direct
0.500 0.148 0.852 Tm
0.000 0.326 0.674 Tm
0.500 0.500 0.500 Tm
0.000 0.674 0.326 Tm
0.500 0.852 0.148 Tm
0.251 0.086 0.416 Rh
0.749 0.584 0.914 Rh
0.764 0.264 0.264 Rh
0.236 0.736 0.736 Rh
0.251 0.416 0.086 Rh
0.749 0.914 0.584 Rh
0.000 0.000 0.000 Cu
```

***

No. 18
An optimized crystal structure of Ta2HF, computed with PBE-GGA.

- Total magnetization: 0.00 μB/atom
- N(E_F): 4.7 states/eV/cell
- Energy above the most stable polymorph in this dataset: 0.000 eV/atom

Cell and atoms, written as POSCAR:
```
Ta2HF
1.0
-4.094 -2.155 -0.549
1.528 -1.892 -3.974
0.353 -5.741 0.137
H F Ta
2 2 4
direct
0.500 0.500 0.000 H
0.250 0.750 0.500 H
0.000 0.000 0.000 F
0.750 0.250 0.500 F
0.565 0.125 0.250 Ta
0.185 0.625 0.250 Ta
0.375 0.435 0.750 Ta
0.875 0.815 0.750 Ta
```

***

No. 19
An optimized crystal structure of Ac2Ga6Rh3, computed with PBE-GGA.

- Total magnetization: 0.00 μB/atom
- N(E_F): 8.9 states/eV/cell
- DFT total energy: -5.0261 eV per atom

Cell and atoms, written as POSCAR:
```
Ac2Ga6Rh3
1.0
-3.702 1.304 -1.895
-3.240 -6.846 1.619
-0.538 5.834 5.066
Ac Ga Rh
2 6 3
direct
0.000 0.667 0.333 Ac
0.000 0.333 0.667 Ac
0.500 0.709 0.709 Ga
0.500 0.000 0.291 Ga
0.000 0.194 0.194 Ga
0.000 0.806 0.000 Ga
0.500 0.291 0.000 Ga
0.000 0.000 0.806 Ga
0.500 0.370 0.370 Rh
0.500 0.630 0.000 Rh
0.500 0.000 0.630 Rh
```

***

No. 20
An optimized crystal structure of MgCuAsRh2, computed with PBE-GGA.

- Total magnetization: 0.00 μB/atom
- N(E_F): 2.9 states/eV/cell
- DFT total energy: -4.9151 eV per atom

Cell and atoms, written as POSCAR:
```
MgCuAsRh2
1.0
-0.564 -4.537 0.144
3.161 -0.496 -3.268
3.162 -0.295 3.103
As Rh Mg Cu
1 2 1 1
direct
0.000 0.000 0.000 As
0.000 0.500 0.000 Rh
0.500 0.000 0.000 Rh
0.500 0.500 0.500 Mg
0.000 0.000 0.500 Cu
```

***

No. 21
An optimized crystal structure of SrCuIr, computed with PBE-GGA.

- Total magnetization: 0.00 μB/atom
- N(E_F): 5.3 states/eV/cell
- Energy above the most stable polymorph in this dataset: 0.000 eV/atom

Cell and atoms, written as POSCAR:
```
SrCuIr
1.0
4.729 -0.041 -2.709
-3.095 4.485 -0.076
-0.058 0.041 5.449
Sr Cu Ir
2 2 2
direct
0.250 0.131 0.881 Sr
0.750 0.869 0.119 Sr
0.000 0.500 0.500 Cu
0.500 0.000 0.500 Cu
0.500 0.500 0.500 Ir
0.000 0.500 0.000 Ir
```